1.
A relaxed Ac4PrNd crystal, computed with GGA-PBE.

Values from the calculation:
N(E_F)   1.92 states/eV/atom
Distance to the lowest polymorph of the same formula   0.000 eV/atom

a b c (Å): 5.577 16.270 5.543
angles (deg): 90.00 90.00 90.00
Space group Cmmm (No. 65)
Inequivalent atoms, fractional coordinates:
Ac (0.000, 0.162, 0.000)
Ac (0.000, 0.338, 0.500)
Pr (0.000, 0.000, 0.500)
Nd (0.000, 0.500, 0.000)

---

2.
A relaxed Ac3Pr2Nd7 crystal, computed with GGA-PBE.

Values from the calculation:
N(E_F)   1.42 states/eV/atom
Distance to the lowest polymorph of the same formula   0.000 eV/atom

a b c (Å): 6.137 3.785 19.726
angles (deg): 90.00 92.90 90.00
Space group P2/m (No. 10)
Inequivalent atoms, fractional coordinates:
Ac (0.000, 0.000, 0.000)
Ac (0.277, 0.500, 0.634)
Pr (0.213, 0.000, 0.293)
Nd (0.197, 0.500, 0.146)
Nd (0.244, 0.000, 0.462)
Nd (0.302, 0.000, 0.827)
Nd (0.500, 0.500, 0.000)

---

3.
A relaxed AcPr6Nd crystal, computed with GGA-PBE.

Values from the calculation:
Electronic total energy   -4.678 eV per atom
N(E_F)   1.71 states/eV/atom

a b c (Å): 5.291 5.291 10.587
angles (deg): 90.00 90.00 90.00
Space group P4/mmm (No. 123)
Inequivalent atoms, fractional coordinates:
Ac (0.000, 0.000, 0.000)
Pr (0.000, 0.500, 0.256)
Pr (0.500, 0.500, 0.000)
Pr (0.500, 0.500, 0.500)
Nd (0.000, 0.000, 0.500)

---

4.
A relaxed Ac4Pr3Nd8 crystal, computed with GGA-PBE.

Values from the calculation:
Electronic total energy   -4.274 eV per atom
N(E_F)   1.78 states/eV/atom

a b c (Å): 13.961 13.482 7.291
angles (deg): 90.00 120.79 90.00
Space group C2/m (No. 12)
Inequivalent atoms, fractional coordinates:
Ac (0.000, 0.000, 0.000)
Ac (0.000, 0.000, 0.500)
Ac (0.250, 0.250, 0.000)
Pr (0.000, 0.500, 0.500)
Pr (0.250, 0.250, 0.500)
Nd (0.000, 0.266, 0.500)
Nd (0.000, 0.358, 0.000)
Nd (0.221, 0.500, 0.991)
Nd (0.223, 0.500, 0.460)